1.
DFT (GGA-PBE) results for an optimized crystal structure of HfTaGa.

Output
E above lowest polymorph	0.017	eV/atom
size of the total moment	0.00	μB/f.u.

Cell: 5.173 6.497 6.494 Å, 90.00 90.00 90.00°
Space group Ima2 (No. 46)
Asymmetric unit:
Hf1 0.250 0.154 0.000 (multiplicity 4)
Ta1 0.250 0.654 0.809 (multiplicity 4)
Ga1 0.000 0.000 0.650 (multiplicity 4)

***

2.
DFT (GGA-PBE) results for an optimized crystal structure of NdBS3.

Output
E	-6.0161	eV per atom
size of the total moment	0.00	μB/f.u.

Cell: 7.613 6.014 8.955 Å, 90.00 90.00 90.00°
Space group Pna2_1 (No. 33)
Asymmetric unit:
Nd1 0.116 0.069 0.000 (multiplicity 4)
B1 0.146 0.598 0.171 (multiplicity 4)
S1 0.000 0.400 0.512 (multiplicity 4)
S2 0.172 0.835 0.295 (multiplicity 4)
S3 0.203 0.866 0.701 (multiplicity 4)

***

3.
DFT (GGA-PBE) results for an optimized crystal structure of RbPbAuO3.

Output
E	-4.6290	eV per atom

Cell: 12.608 3.359 10.645 Å, 90.00 90.00 90.00°
Space group Pnma (No. 62)
Asymmetric unit:
Rb1 0.245 0.250 0.132 (multiplicity 4)
Pb1 0.031 0.250 0.363 (multiplicity 4)
Au1 0.031 0.250 0.917 (multiplicity 4)
O1 0.077 0.750 0.800 (multiplicity 4)
O2 0.079 0.250 0.563 (multiplicity 4)
O3 0.129 0.750 0.303 (multiplicity 4)

***

4.
DFT (GGA-PBE) results for an optimized crystal structure of Hf4ZnInN2.

Output
E	-8.5663	eV per atom
size of the total moment	0.01	μB/f.u.

Cell: 3.2368 3.2368 14.2966 Å, 90.00 90.00 120.00°
Space group P-6m2 (No. 187)
Asymmetric unit:
Hf1 0.0000 0.0000 0.1547 (multiplicity 2)
Hf2 0.3333 0.6667 0.3281 (multiplicity 2)
Zn1 0.3333 0.6667 0.0000 (multiplicity 1)
In1 0.0000 0.0000 0.5000 (multiplicity 1)
N1 0.6667 0.3333 0.2407 (multiplicity 2)

***

5.
DFT (GGA-PBE) results for an optimized crystal structure of AgSnNO.

Output
E above lowest polymorph	0.000	eV/atom

Cell: 3.434 6.476 5.808 Å, 90.00 90.00 90.00°
Space group Pmc2_1 (No. 26)
Asymmetric unit:
Ag1 0.000 0.134 0.000 (multiplicity 2)
Sn1 0.500 0.336 0.485 (multiplicity 2)
N1 0.000 0.195 0.385 (multiplicity 2)
O1 0.500 0.379 0.833 (multiplicity 2)

***

6.
DFT (GGA-PBE) results for an optimized crystal structure of ZrZnFeAg.

Output
E above lowest polymorph	0.028	eV/atom
size of the total moment	2.73	μB/f.u.

Cell: 6.470 6.470 6.470 Å, 90.00 90.00 90.00°
Space group F-43m (No. 216)
Asymmetric unit:
Zr1 0.000 0.000 0.000 (multiplicity 4)
Zn1 0.250 0.250 0.250 (multiplicity 4)
Fe1 0.000 0.000 0.500 (multiplicity 4)
Ag1 0.250 0.250 0.750 (multiplicity 4)